[1]
Computed, not measured: a relaxed CoGeB2 crystal at the PBE level of DFT.

Properties
* E_form: 0.698 eV per atom
* crystal system: tetragonal

a b c (Å): 4.762 4.762 5.580
angles (deg): 64.74 64.74 90.00
Positions (direct):
Co 0.500 0.500 0.000
Co 0.250 0.750 0.500
B 0.586 0.125 0.250
B 0.164 0.625 0.250
B 0.875 0.836 0.750
B 0.375 0.414 0.750
Ge 0.000 0.000 0.000
Ge 0.750 0.250 0.500

[2]
Computed, not measured: a relaxed Co4Ge2B crystal at the PBE level of DFT.

Properties
* E_form: 0.001 eV per atom
* crystal system: tetragonal

a b c (Å): 3.731 3.731 6.525
angles (deg): 73.39 73.39 90.00
Positions (direct):
B 0.000 0.000 0.000
Co 0.000 0.500 0.000
Co 0.833 0.833 0.333
Co 0.500 0.000 0.000
Co 0.167 0.167 0.667
Ge 0.639 0.639 0.722
Ge 0.361 0.361 0.278

[3]
Computed, not measured: a relaxed HoCo3GeB crystal at the PBE level of DFT.

Properties
* E_form: -0.333 eV per atom
* crystal system: orthorhombic

a b c (Å): 5.512 5.316 6.149
angles (deg): 115.61 90.00 90.00
Positions (direct):
Co 0.000 0.749 0.000
Co 0.250 0.162 0.325
Co 0.500 0.251 0.000
Co 0.500 0.749 0.000
Co 0.000 0.251 0.000
Co 0.750 0.838 0.675
B 0.250 0.984 0.969
B 0.750 0.016 0.031
Ho 0.750 0.265 0.529
Ho 0.250 0.735 0.471
Ge 0.250 0.368 0.735
Ge 0.750 0.632 0.265

[4]
Computed, not measured: a relaxed Li2Co5GeB2 crystal at the PBE level of DFT.

Properties
* E_form: -0.203 eV per atom
* crystal system: tetragonal

a b c (Å): 2.694 8.731 8.731
angles (deg): 90.00 90.00 90.00
Positions (direct):
Li 0.000 0.176 0.324
Li 0.000 0.324 0.824
Li 0.000 0.824 0.676
Li 0.000 0.676 0.176
Co 0.500 0.500 0.000
Co 0.500 0.569 0.718
Co 0.500 0.931 0.218
Co 0.500 0.282 0.569
Co 0.500 0.069 0.782
Co 0.500 0.000 0.500
Co 0.500 0.782 0.931
Co 0.500 0.431 0.282
Co 0.500 0.718 0.431
Co 0.500 0.218 0.069
B 0.000 0.876 0.376
B 0.000 0.124 0.624
B 0.000 0.624 0.876
B 0.000 0.376 0.124
Ge 0.000 0.000 0.000
Ge 0.000 0.500 0.500

[5]
Computed, not measured: a relaxed Mg2Co5GeB2 crystal at the PBE level of DFT.

Properties
* E_form: -0.311 eV per atom
* crystal system: tetragonal

a b c (Å): 2.781 8.806 8.806
angles (deg): 90.00 90.00 90.00
Positions (direct):
Mg 0.000 0.675 0.175
Mg 0.000 0.325 0.825
Mg 0.000 0.825 0.675
Mg 0.000 0.175 0.325
Co 0.500 0.218 0.070
Co 0.500 0.500 0.000
Co 0.500 0.930 0.218
Co 0.500 0.570 0.718
Co 0.500 0.782 0.930
Co 0.500 0.430 0.282
Co 0.500 0.718 0.430
Co 0.500 0.000 0.500
Co 0.500 0.282 0.570
Co 0.500 0.070 0.782
B 0.000 0.378 0.122
B 0.000 0.622 0.878
B 0.000 0.122 0.622
B 0.000 0.878 0.378
Ge 0.000 0.000 0.000
Ge 0.000 0.500 0.500

[6]
Computed, not measured: a relaxed Np2Co5GeB2 crystal at the PBE level of DFT.

Properties
* E_form: -0.180 eV per atom
* crystal system: tetragonal

a b c (Å): 2.942 9.135 9.135
angles (deg): 90.00 90.00 90.00
Positions (direct):
B 0.000 0.117 0.617
B 0.000 0.383 0.117
B 0.000 0.617 0.883
B 0.000 0.883 0.383
Co 0.500 0.000 0.500
Co 0.500 0.227 0.067
Co 0.500 0.433 0.273
Co 0.500 0.567 0.727
Co 0.500 0.727 0.433
Co 0.500 0.773 0.933
Co 0.500 0.067 0.773
Co 0.500 0.273 0.567
Co 0.500 0.500 0.000
Co 0.500 0.933 0.227
Np 0.000 0.821 0.679
Np 0.000 0.679 0.179
Np 0.000 0.179 0.321
Np 0.000 0.321 0.821
Ge 0.000 0.500 0.500
Ge 0.000 0.000 0.000

Record order is preserved below.
DOS at the Fermi energy: 4.38, 5.82, 11.64, 20.04, 7.44, 33.94 states/eV per cell